Here is crystalline CuAgTe2 at its relaxed geometry from Alexandria. Energies are from PBE-GGA.

Fermi-level density of states in states/eV/cell: 10.86
E_form (uncorrected) in eV per atom: 0.02
E_tot in eV/cell: -52.64
Total magnetization in μB per atom: 0.00

Cell and atoms, written as CIF:
```
data_CuAgTe2
_chemical_formula_sum 'Cu4 Ag4 Te8'
_symmetry_space_group_name_H-M 'I -4 2 d'
_symmetry_Int_Tables_number 122
_symmetry_space_group_name_Hall 'I -4 2bw'
_cell_length_a 6.193
_cell_length_b 6.193
_cell_length_c 11.896
_cell_angle_alpha 90.00
_cell_angle_beta 90.00
_cell_angle_gamma 90.00
loop_
_atom_site_label
_atom_site_fract_x
_atom_site_fract_y
_atom_site_fract_z
Cu1 0.000 0.000 0.000
Ag1 0.000 0.000 0.500
Te1 0.219 0.250 0.125
```